Record 1
First-principles (PBE) data for a geometry-optimized CsVNi2 structure, as listed in the Alexandria database.

## Properties
density of states at the Fermi level = 1.725 states/eV per atom
formation energy = 1419 meV/atom
SG = Fm-3m

a = 4.7386 Å, b = 4.7386 Å, c = 4.7386 Å
α = 60.00°, β = 60.00°, γ = 60.00°
Fractional positions:
Cs 0.0000 0.0000 0.0000
V 0.5000 0.5000 0.5000
Ni 0.2500 0.2500 0.2500
Ni 0.7500 0.7500 0.7500

=====

Record 2
First-principles (PBE) data for a geometry-optimized TbBePd2 structure, as listed in the Alexandria database.

## Properties
polymorph energy (0 for the lowest one) = 0.0870 eV per atom
density of states at the Fermi level = 0.465 states/eV per atom
formation energy = -646 meV/atom
SG = R-3m

a = 5.3943 Å, b = 5.3943 Å, c = 5.3943 Å
α = 44.85°, β = 44.85°, γ = 44.85°
Fractional positions:
Tb 0.0000 0.0000 0.0000
Be 0.5000 0.5000 0.5000
Pd 0.2118 0.2118 0.2118
Pd 0.7882 0.7882 0.7882

=====

Record 3
First-principles (PBE) data for a geometry-optimized LaLuMgZr structure, as listed in the Alexandria database.

## Properties
density of states at the Fermi level = 1.286 states/eV per atom
formation energy = 134 meV/atom
SG = F-43m

a = 5.4001 Å, b = 5.4001 Å, c = 5.4001 Å
α = 60.00°, β = 60.00°, γ = 60.00°
Fractional positions:
La 0.0000 0.0000 0.0000
Lu 0.5000 0.5000 0.5000
Mg 0.7500 0.7500 0.7500
Zr 0.2500 0.2500 0.2500

=====

Record 4
First-principles (PBE) data for a geometry-optimized Li2SmAu6 structure, as listed in the Alexandria database.

## Properties
density of states at the Fermi level = 0.411 states/eV per atom
formation energy = -445 meV/atom
SG = Immm

a = 8.1967 Å, b = 8.1967 Å, c = 8.1967 Å
α = 157.66°, β = 121.16°, γ = 63.75°
Fractional positions:
Li 0.1443 0.1443 0.0000
Li 0.8557 0.8557 0.0000
Sm 0.5000 0.0000 0.5000
Au 0.1481 0.3225 0.8256
Au 0.1688 0.5000 0.6688
Au 0.4970 0.3225 0.1744
Au 0.5030 0.6775 0.8256
Au 0.8312 0.5000 0.3312
Au 0.8519 0.6775 0.1744

=====

Record 5
First-principles (PBE) data for a geometry-optimized CoTc2 structure, as listed in the Alexandria database.

## Properties
polymorph energy (0 for the lowest one) = 0.2448 eV per atom
density of states at the Fermi level = 1.174 states/eV per atom
formation energy = 257 meV/atom
SG = Immm

a = 4.3792 Å, b = 4.3792 Å, c = 4.3792 Å
α = 145.23°, β = 118.81°, γ = 72.34°
Fractional positions:
Co 0.0000 0.0000 0.0000
Tc 0.3206 0.8206 0.5000
Tc 0.6794 0.1794 0.5000

=====

Record 6
First-principles (PBE) data for a geometry-optimized Li2Hg6Au structure, as listed in the Alexandria database.

## Properties
polymorph energy (0 for the lowest one) = 0.0000 eV per atom
density of states at the Fermi level = 0.230 states/eV per atom
formation energy = -166 meV/atom
SG = C2/m

a = 7.4980 Å, b = 7.4980 Å, c = 7.9444 Å
α = 112.32°, β = 112.32°, γ = 28.79°
Fractional positions:
Li 0.0412 0.0412 0.2970
Li 0.9588 0.9588 0.7030
Hg 0.1567 0.1567 0.9764
Hg 0.3007 0.3007 0.6736
Hg 0.3899 0.3899 0.3670
Hg 0.6101 0.6101 0.6330
Hg 0.6993 0.6993 0.3264
Hg 0.8433 0.8433 0.0236
Au 0.5000 0.5000 0.0000